# 1
# Ho8Tm3Th (PBE, optimized geometry)
data_Ho8Tm3Th
_cell_length_a 6.097
_cell_length_b 7.027
_cell_length_c 9.324
_cell_angle_alpha 79.21
_cell_angle_beta 77.62
_cell_angle_gamma 73.28
_symmetry_space_group_name_H-M 'P -1'
_symmetry_Int_Tables_number 2
_symmetry_space_group_name_Hall '-P 1'
loop_
_atom_site_label
_atom_site_type_symbol
_atom_site_fract_x
_atom_site_fract_y
_atom_site_fract_z
Ho1 Ho 0.000 0.168 0.333
Ho2 Ho 0.001 0.335 0.668
Ho3 Ho 0.495 0.170 0.833
Ho4 Ho 0.499 0.665 0.834
Tm1 Tm 0.000 0.000 0.000
Tm2 Tm 0.500 0.000 0.500
Tm3 Tm 0.500 0.500 0.500
Th1 Th 0.000 0.500 0.000
# * energy of formation: 0.022 eV per atom
# * D(E_F): 15.98 states/eV per cell

=====

# 2
# Ho6InGe2 (PBE, optimized geometry)
data_Ho6InGe2
_cell_length_a 9.563
_cell_length_b 9.591
_cell_length_c 10.390
_cell_angle_alpha 90.00
_cell_angle_beta 90.00
_cell_angle_gamma 90.00
_symmetry_space_group_name_H-M 'I m m m'
_symmetry_Int_Tables_number 71
_symmetry_space_group_name_Hall '-I 2 2'
loop_
_atom_site_label
_atom_site_type_symbol
_atom_site_fract_x
_atom_site_fract_y
_atom_site_fract_z
Ho1 Ho 0.000 0.204 0.177
Ho2 Ho 0.183 0.223 0.500
Ho3 Ho 0.201 0.500 0.253
In1 In 0.000 0.500 0.000
In2 In 0.000 0.500 0.500
Ge1 Ge 0.000 0.000 0.377
Ge2 Ge 0.150 0.000 0.000
# * energy of formation: -0.561 eV per atom
# * D(E_F): 29.68 states/eV per cell

=====

# 3
# Y3NbPb (PBE, optimized geometry)
data_Y3NbPb
_cell_length_a 5.702
_cell_length_b 5.702
_cell_length_c 5.702
_cell_angle_alpha 90.00
_cell_angle_beta 90.00
_cell_angle_gamma 90.00
_symmetry_space_group_name_H-M 'P m -3 m'
_symmetry_Int_Tables_number 221
_symmetry_space_group_name_Hall '-P 4 2 3'
loop_
_atom_site_label
_atom_site_type_symbol
_atom_site_fract_x
_atom_site_fract_y
_atom_site_fract_z
Y1 Y 0.000 0.000 0.500
Nb1 Nb 0.500 0.500 0.500
Pb1 Pb 0.000 0.000 0.000
# * energy of formation: 0.924 eV per atom
# * D(E_F): 6.38 states/eV per cell
# * offset from the most stable computed form: 498.8 meV/atom

=====

# 4
# SrTa3Mn (PBE, optimized geometry)
data_SrTa3Mn
_cell_length_a 4.780
_cell_length_b 4.780
_cell_length_c 4.780
_cell_angle_alpha 90.00
_cell_angle_beta 90.00
_cell_angle_gamma 90.00
_symmetry_space_group_name_H-M 'P m -3 m'
_symmetry_Int_Tables_number 221
_symmetry_space_group_name_Hall '-P 4 2 3'
loop_
_atom_site_label
_atom_site_type_symbol
_atom_site_fract_x
_atom_site_fract_y
_atom_site_fract_z
Sr1 Sr 0.000 0.000 0.000
Ta1 Ta 0.000 0.000 0.500
Mn1 Mn 0.500 0.500 0.500
# * energy of formation: 3.377 eV per atom
# * D(E_F): 6.45 states/eV per cell
# * offset from the most stable computed form: 2527.7 meV/atom

=====

# 5
# Rb2Hg2Br (PBE, optimized geometry)
data_Rb2Hg2Br
_cell_length_a 9.335
_cell_length_b 9.335
_cell_length_c 5.586
_cell_angle_alpha 90.00
_cell_angle_beta 90.00
_cell_angle_gamma 90.00
_symmetry_space_group_name_H-M 'P 4/m b m'
_symmetry_Int_Tables_number 127
_symmetry_space_group_name_Hall '-P 4 2ab'
loop_
_atom_site_label
_atom_site_type_symbol
_atom_site_fract_x
_atom_site_fract_y
_atom_site_fract_z
Rb1 Rb 0.191 0.309 0.000
Hg1 Hg 0.117 0.617 0.500
Br1 Br 0.000 0.000 0.000
# * formation energy (no corrections): -0.66 eV/atom
# * D(E_F): 8.12 states/eV per cell
# * offset from the most stable computed form: 0.0 meV/atom

=====

# 6
# NaCaDySn (PBE, optimized geometry)
data_NaCaDySn
_cell_length_a 7.659
_cell_length_b 7.659
_cell_length_c 7.659
_cell_angle_alpha 90.00
_cell_angle_beta 90.00
_cell_angle_gamma 90.00
_symmetry_space_group_name_H-M 'F -4 3 m'
_symmetry_Int_Tables_number 216
_symmetry_space_group_name_Hall 'F -4 2 3'
loop_
_atom_site_label
_atom_site_type_symbol
_atom_site_fract_x
_atom_site_fract_y
_atom_site_fract_z
Na1 Na 0.000 0.000 0.000
Ca1 Ca 0.250 0.250 0.750
Dy1 Dy 0.250 0.250 0.250
Sn1 Sn 0.000 0.000 0.500
# * energy of formation: -0.296 eV per atom
# * D(E_F): 9.03 states/eV per cell

=====

# 7
# LiFe2Se (PBE, optimized geometry)
data_LiFe2Se
_cell_length_a 3.598
_cell_length_b 3.598
_cell_length_c 8.221
_cell_angle_alpha 90.00
_cell_angle_beta 90.00
_cell_angle_gamma 90.00
_symmetry_space_group_name_H-M 'I 4/m m m'
_symmetry_Int_Tables_number 139
_symmetry_space_group_name_Hall '-I 4 2'
loop_
_atom_site_label
_atom_site_type_symbol
_atom_site_fract_x
_atom_site_fract_y
_atom_site_fract_z
Li1 Li 0.000 0.000 0.000
Fe1 Fe 0.000 0.500 0.250
Se1 Se 0.000 0.000 0.500
# * formation energy (no corrections): 0.00 eV/atom
# * D(E_F): 6.70 states/eV per cell

=====

# 8
# Ba2TmCd12Ag3 (PBE, optimized geometry)
data_Ba2TmCd12Ag3
_cell_length_a 8.7035
_cell_length_b 8.7035
_cell_length_c 24.7436
_cell_angle_alpha 90.00
_cell_angle_beta 90.00
_cell_angle_gamma 120.00
_symmetry_space_group_name_H-M 'R -3 m'
_symmetry_Int_Tables_number 166
_symmetry_space_group_name_Hall '-R 3 2"'
loop_
_atom_site_label
_atom_site_type_symbol
_atom_site_fract_x
_atom_site_fract_y
_atom_site_fract_z
Ba1 Ba 0.0000 0.0000 0.0922
Tm1 Tm 0.0000 0.0000 0.5000
Cd1 Cd 0.0935 0.5467 0.8811
Cd2 Cd 0.0950 0.5475 0.2691
Ag1 Ag 0.0000 0.5000 0.0000
# * energy of formation: 0.058 eV per atom
# * D(E_F): 27.71 states/eV per cell